A relaxed Sc2Mn2AlRu5 crystal. Source: Alexandria via LeMat-Bulk, functional PBE.

Summary:
Uncorrected energy (eV/atom): -8.294
DOS at the Fermi energy (states/eV/cell): 16.89
Volume (Å³/atom): 15.262
Crystal system: tetragonal

Cell: 3.2302 9.7210 9.7210 Å, 90.00 90.00 90.00°
Closest atoms and distances in Å follow each position.
Positions (direct):
Ru 0.5000 0.4349 0.3000  2 Mn 2.39, 2 Al 2.61
Ru 0.5000 0.3000 0.5651  2 Mn 2.39, 2 Al 2.61
Ru 0.5000 0.0651 0.8000  2 Mn 2.39, 2 Al 2.61
Ru 0.5000 0.5651 0.7000  2 Mn 2.39, 2 Al 2.61
Ru 0.5000 0.0000 0.5000  4 Mn 2.43
Ru 0.5000 0.2000 0.0651  2 Mn 2.39, 2 Al 2.61
Ru 0.5000 0.8000 0.9349  2 Mn 2.39, 2 Al 2.61
Ru 0.5000 0.5000 0.0000  4 Mn 2.43
Ru 0.5000 0.9349 0.2000  2 Mn 2.39, 2 Al 2.61
Ru 0.5000 0.7000 0.4349  2 Mn 2.39, 2 Al 2.61
Mn 0.0000 0.3679 0.1321  6 Ru 2.39-2.43
Mn 0.0000 0.6321 0.8679  6 Ru 2.39-2.43
Mn 0.0000 0.1321 0.6321  6 Ru 2.39-2.43
Mn 0.0000 0.8679 0.3679  6 Ru 2.39-2.43
Sc 0.0000 0.3287 0.8287  3 Mn 2.70-2.97, 2 Ru 2.86
Sc 0.0000 0.6713 0.1713  3 Mn 2.70-2.97, 2 Ru 2.86
Sc 0.0000 0.1713 0.3287  3 Mn 2.70-2.97, 2 Ru 2.86
Sc 0.0000 0.8287 0.6713  3 Mn 2.70-2.97, 2 Ru 2.86
Al 0.0000 0.5000 0.5000  8 Ru 2.61
Al 0.0000 0.0000 0.0000  8 Ru 2.61

---

A relaxed Sc2MnAl2Ru5 crystal. Source: Alexandria via LeMat-Bulk, functional PBE.

Summary:
Uncorrected energy (eV/atom): -7.886
DOS at the Fermi energy (states/eV/cell): 15.63
Volume (Å³/atom): 15.444
Crystal system: tetragonal

Cell: 3.2335 9.7737 9.7737 Å, 90.00 90.00 90.00°
Closest atoms and distances in Å follow each position.
Positions (direct):
Ru 0.5000 0.6921 0.4365  2 Al 2.46, 2 Mn 2.55
Ru 0.5000 0.8079 0.9365  2 Al 2.46, 2 Mn 2.55
Ru 0.5000 0.3079 0.5635  2 Al 2.46, 2 Mn 2.55
Ru 0.5000 0.0635 0.8079  2 Al 2.46, 2 Mn 2.55
Ru 0.5000 0.9365 0.1921  2 Al 2.46, 2 Mn 2.55
Ru 0.5000 0.4365 0.3079  2 Al 2.46, 2 Mn 2.55
Ru 0.5000 0.0000 0.5000  4 Al 2.43
Ru 0.5000 0.1921 0.0635  2 Al 2.46, 2 Mn 2.55
Ru 0.5000 0.5000 0.0000  4 Al 2.43
Ru 0.5000 0.5635 0.6921  2 Al 2.46, 2 Mn 2.55
Sc 0.0000 0.3306 0.8306  3 Al 2.76-2.96, 6 Ru 2.85-3.08
Sc 0.0000 0.8306 0.6694  3 Al 2.76-2.96, 6 Ru 2.85-3.08
Sc 0.0000 0.6694 0.1694  3 Al 2.76-2.96, 6 Ru 2.85-3.08
Sc 0.0000 0.1694 0.3306  3 Al 2.76-2.96, 6 Ru 2.85-3.08
Mn 0.0000 0.5000 0.5000  8 Ru 2.55
Mn 0.0000 0.0000 0.0000  8 Ru 2.55
Al 0.0000 0.6309 0.8691  6 Ru 2.43-2.46
Al 0.0000 0.1309 0.6309  6 Ru 2.43-2.46
Al 0.0000 0.8691 0.3691  6 Ru 2.43-2.46
Al 0.0000 0.3691 0.1309  6 Ru 2.43-2.46

---

A relaxed SrMn2AlRu crystal. Source: Alexandria via LeMat-Bulk, functional PBE.

Summary:
Uncorrected energy (eV/atom): -4.510
DOS at the Fermi energy (states/eV/cell): 4.64
Volume (Å³/atom): 23.707
Crystal system: tetragonal

Cell: 4.9669 4.8047 4.9669 Å, 90.00 90.00 90.00°
Closest atoms and distances in Å follow each position.
Positions (direct):
Al 0.5000 0.5000 0.5000  8 Mn 3.46, 4 Ru 3.51
Mn 0.5000 0.0000 0.0000  2 Sr 2.48
Mn 0.0000 0.0000 0.5000  2 Sr 2.48
Sr 0.0000 0.0000 0.0000  2 Ru 2.40, 4 Mn 2.48
Ru 0.0000 0.5000 0.0000  2 Sr 2.40

---

A relaxed SrMnAlRu2 crystal. Source: Alexandria via LeMat-Bulk, functional PBE.

Summary:
Uncorrected energy (eV/atom): -3.847
DOS at the Fermi energy (states/eV/cell): 6.94
Volume (Å³/atom): 23.155
Crystal system: tetragonal

Cell: 4.7326 5.1691 4.7326 Å, 90.00 90.00 90.00°
Closest atoms and distances in Å follow each position.
Positions (direct):
Ru 0.5000 0.0000 0.0000  2 Sr 2.37
Ru 0.0000 0.0000 0.5000  2 Sr 2.37
Al 0.0000 0.5000 0.0000  2 Sr 2.58
Mn 0.5000 0.5000 0.5000  4 Al 3.35, 8 Ru 3.50
Sr 0.0000 0.0000 0.0000  4 Ru 2.37, 2 Al 2.58

---

A relaxed Tb2MnAl2Ru5 crystal. Source: Alexandria via LeMat-Bulk, functional PBE.

Summary:
Uncorrected energy (eV/atom): -7.496
DOS at the Fermi energy (states/eV/cell): 14.71
Volume (Å³/atom): 16.504
Crystal system: tetragonal

Cell: 3.2857 10.0228 10.0228 Å, 90.00 90.00 90.00°
Closest atoms and distances in Å follow each position.
Positions (direct):
Ru 0.5000 0.6935 0.4373  2 Al 2.51, 2 Mn 2.62
Ru 0.5000 0.1935 0.0627  2 Al 2.51, 2 Mn 2.62
Ru 0.5000 0.0627 0.8065  2 Al 2.51, 2 Mn 2.62
Ru 0.5000 0.0000 0.5000  4 Al 2.46
Ru 0.5000 0.9373 0.1935  2 Al 2.51, 2 Mn 2.62
Ru 0.5000 0.4373 0.3065  2 Al 2.51, 2 Mn 2.62
Ru 0.5000 0.5000 0.0000  4 Al 2.46
Ru 0.5000 0.8065 0.9373  2 Al 2.51, 2 Mn 2.62
Ru 0.5000 0.5627 0.6935  2 Al 2.51, 2 Mn 2.62
Ru 0.5000 0.3065 0.5627  2 Al 2.51, 2 Mn 2.62
Al 0.0000 0.3712 0.1288  6 Ru 2.46-2.51
Al 0.0000 0.8712 0.3712  6 Ru 2.46-2.51
Al 0.0000 0.1288 0.6288  6 Ru 2.46-2.51
Al 0.0000 0.6288 0.8712  6 Ru 2.46-2.51
Tb 0.0000 0.3286 0.8286  3 Al 2.83-3.04, 10 Ru 2.93-3.17
Tb 0.0000 0.6714 0.1714  3 Al 2.83-3.04, 10 Ru 2.93-3.17
Tb 0.0000 0.8286 0.6714  3 Al 2.83-3.04, 10 Ru 2.93-3.17
Tb 0.0000 0.1714 0.3286  3 Al 2.83-3.04, 10 Ru 2.93-3.17
Mn 0.0000 0.0000 0.0000  8 Ru 2.62
Mn 0.0000 0.5000 0.5000  8 Ru 2.62

---

A relaxed MnAlTcRu crystal. Source: Alexandria via LeMat-Bulk, functional PBE.

Summary:
Uncorrected energy (eV/atom): -8.412
DOS at the Fermi energy (states/eV/cell): 3.66
Volume (Å³/atom): 13.568
Crystal system: cubic

Cell: 4.2498 4.2498 4.2498 Å, 60.00 60.00 60.00°
Closest atoms and distances in Å follow each position.
Positions (direct):
Al 0.2500 0.2500 0.2500  4 Ru 2.60, 4 Tc 2.60
Tc 0.0000 0.0000 0.0000  4 Mn 2.60, 4 Al 2.60
Ru 0.5000 0.5000 0.5000  4 Mn 2.60, 4 Al 2.60
Mn 0.7500 0.7500 0.7500  4 Tc 2.60, 4 Ru 2.60

---

A relaxed Ti5Mn2Al2Ru crystal. Source: Alexandria via LeMat-Bulk, functional PBE.

Summary:
Uncorrected energy (eV/atom): -7.659
DOS at the Fermi energy (states/eV/cell): 16.67
Volume (Å³/atom): 15.578
Crystal system: tetragonal

Cell: 3.0763 10.0638 10.0638 Å, 90.00 90.00 90.00°
Closest atoms and distances in Å follow each position.
Positions (direct):
Ti 0.5000 0.8013 0.9282  2 Mn 2.38, 2 Ru 2.62
Ti 0.5000 0.3013 0.5718  2 Mn 2.38, 2 Ru 2.62
Ti 0.5000 0.9282 0.1987  2 Mn 2.38, 2 Ru 2.62
Ti 0.5000 0.6987 0.4282  2 Mn 2.38, 2 Ru 2.62
Ti 0.5000 0.4282 0.3013  2 Mn 2.38, 2 Ru 2.62
Ti 0.5000 0.1987 0.0718  2 Mn 2.38, 2 Ru 2.62
Ti 0.5000 0.5000 0.0000  4 Mn 2.41
Ti 0.5000 0.5718 0.6987  2 Mn 2.38, 2 Ru 2.62
Ti 0.5000 0.0718 0.8013  2 Mn 2.38, 2 Ru 2.62
Ti 0.5000 0.0000 0.5000  4 Mn 2.41
Mn 0.0000 0.3696 0.1304  6 Ti 2.38-2.41
Mn 0.0000 0.8696 0.3696  6 Ti 2.38-2.41
Mn 0.0000 0.6304 0.8696  6 Ti 2.38-2.41
Mn 0.0000 0.1304 0.6304  6 Ti 2.38-2.41
Al 0.0000 0.8271 0.6729  3 Mn 2.80-3.08, 6 Ti 2.90-3.01, 2 Al 3.08
Al 0.0000 0.3271 0.8271  3 Mn 2.80-3.08, 6 Ti 2.90-3.01, 2 Al 3.08
Al 0.0000 0.1729 0.3271  3 Mn 2.80-3.08, 6 Ti 2.90-3.01, 2 Al 3.08
Al 0.0000 0.6729 0.1729  3 Mn 2.80-3.08, 6 Ti 2.90-3.01, 2 Al 3.08
Ru 0.0000 0.0000 0.0000  8 Ti 2.62
Ru 0.0000 0.5000 0.5000  8 Ti 2.62

---

A relaxed TmMnAlRu crystal. Source: Alexandria via LeMat-Bulk, functional PBE.

Summary:
Uncorrected energy (eV/atom): -6.953
DOS at the Fermi energy (states/eV/cell): 1.03
Volume (Å³/atom): 16.491
Crystal system: cubic

Cell: 4.5353 4.5353 4.5353 Å, 60.00 60.00 60.00°
Closest atoms and distances in Å follow each position.
Positions (direct):
Al 0.0000 0.0000 0.0000  4 Ru 2.78, 4 Mn 2.78
Tm 0.5000 0.5000 0.5000  4 Mn 2.78, 4 Ru 2.78
Mn 0.2500 0.2500 0.2500  4 Al 2.78, 4 Tm 2.78
Ru 0.7500 0.7500 0.7500  4 Tm 2.78, 4 Al 2.78